CuPIr2 | Alexandria | PBE | relaxed; SG = R-3m; ΔE_f = -0.052 eV/atom; volume = 54.9 Å³/cell
1.0
1.4241 0.8222 7.8144
-1.4241 0.8222 7.8144
0.0000 -1.6444 7.8144
Cu P Ir
1 1 2
Direct
0.0000 0.0000 0.0000 Cu
0.5000 0.5000 0.5000 P
0.2412 0.2412 0.2412 Ir
0.7588 0.7588 0.7588 Ir